4
Lattice="1.561 0.000 7.513 -0.781 1.352 7.513 -0.781 -1.352 7.513" Properties=species:S:1:pos:R:3 comment="SiNiF2 (PBE+U, relaxed)" e_above_lowest_polymorph_mev_per_atom=353 space_group="R-3m, No. 166" pbc="T T T"
Si 0.000 0.000 11.270
F 0.000 0.000 1.895
F 0.000 0.000 20.646
Ni 0.000 0.000 0.000